1.
DFT (PBE) results for a relaxed ScBeW2 crystal.

Its calculated formation energy is 0.26 eV per atom. For the density of states at the Fermi level, the calculation gives 0.435 states/eV per atom. Its total DFT energy (no corrections) is -34.9 eV/cell.

The space group is P4mm (No. 99) and the conventional cell measures 2.730, 2.730 and 8.342 Å, with angles of 90.00, 90.00 and 90.00 degrees. Symmetry generates all atoms from Sc at (0.000, 0.000, 0.000), Be at (0.500, 0.500, 0.763), W at (0.000, 0.000, 0.562) and W at (0.500, 0.500, 0.286).


2.
DFT (PBE) results for a relaxed ScBeW2 crystal.

Its calculated formation energy is 0.22 eV per atom. For the density of states at the Fermi level, the calculation gives 0.717 states/eV per atom. Its total DFT energy (no corrections) is -70.1 eV/cell.

The space group is Cmm2 (No. 35) and the conventional cell measures 3.435, 4.331 and 8.377 Å, with angles of 90.00, 90.00 and 90.00 degrees. Symmetry generates all atoms from Sc at (0.000, 0.000, 0.000), Be at (0.000, 0.500, 0.756), W at (0.000, 0.000, 0.550) and W at (0.000, 0.500, 0.283).


3.
DFT (PBE) results for a relaxed ScBe2W crystal.

Its calculated formation energy is 0.26 eV per atom. For the density of states at the Fermi level, the calculation gives 0.601 states/eV per atom. Its total DFT energy (no corrections) is -51.4 eV/cell.

The space group is I-4m2 (No. 119) and the conventional cell measures 3.612, 3.612 and 8.377 Å, with angles of 90.00, 90.00 and 90.00 degrees. Symmetry generates all atoms from Sc at (0.000, 0.000, 0.000), Be at (0.000, 0.000, 0.500), Be at (0.000, 0.500, 0.250) and W at (0.000, 0.500, 0.750).


4.
DFT (PBE) results for a relaxed ScBe2W crystal.

Its calculated formation energy is 0.16 eV per atom. For the density of states at the Fermi level, the calculation gives 0.525 states/eV per atom. Its total DFT energy (no corrections) is -52.2 eV/cell.

The space group is Imm2 (No. 44) and the conventional cell measures 2.836, 4.328 and 8.791 Å, with angles of 90.00, 90.00 and 90.00 degrees. Symmetry generates all atoms from Sc at (0.000, 0.000, 0.000), Be at (0.000, 0.000, 0.547), Be at (0.000, 0.500, 0.235) and W at (0.000, 0.500, 0.779).


5.
DFT (PBE) results for a relaxed ScBeW2 crystal.

Its calculated formation energy is 0.19 eV per atom. For the density of states at the Fermi level, the calculation gives 0.913 states/eV per atom. Its total DFT energy (no corrections) is -140.8 eV/cell.

The space group is F-43m (No. 216) and the conventional cell measures 6.304, 6.304 and 6.304 Å, with angles of 90.00, 90.00 and 90.00 degrees. Symmetry generates all atoms from Sc at (0.000, 0.000, 0.000), Be at (0.250, 0.250, 0.750), W at (0.000, 0.000, 0.500) and W at (0.250, 0.250, 0.250).


6.
DFT (PBE) results for a relaxed ScBeW3 crystal.

Its calculated formation energy is 2.70 eV per atom. For the density of states at the Fermi level, the calculation gives 0.971 states/eV per atom. Its total DFT energy (no corrections) is -35.4 eV/cell.

The space group is Pm-3m (No. 221) and the conventional cell measures 4.596, 4.596 and 4.596 Å, with angles of 90.00, 90.00 and 90.00 degrees. Symmetry generates all atoms from Sc at (0.000, 0.000, 0.000), Be at (0.500, 0.500, 0.500) and W at (0.000, 0.000, 0.500).


7.
DFT (PBE) results for a relaxed ScBeW2 crystal.

Its calculated formation energy is 0.66 eV per atom. For the density of states at the Fermi level, the calculation gives 0.531 states/eV per atom. Its total DFT energy (no corrections) is -133.4 eV/cell.

The space group is I-42d (No. 122) and the conventional cell measures 3.761, 3.761 and 19.116 Å, with angles of 90.00, 90.00 and 90.00 degrees. Symmetry generates all atoms from Sc at (0.000, 0.000, 0.000), Be at (0.000, 0.000, 0.500) and W at (0.243, 0.750, 0.625).


8.
DFT (PBE) results for a relaxed ScBe2W crystal.

Its calculated formation energy is 0.18 eV per atom. For the density of states at the Fermi level, the calculation gives 0.928 states/eV per atom. Its total DFT energy (no corrections) is -52.1 eV/cell.

The space group is I4/mmm (No. 139) and the conventional cell measures 4.011, 4.011 and 6.699 Å, with angles of 90.00, 90.00 and 90.00 degrees. Symmetry generates all atoms from Sc at (0.000, 0.000, 0.000), Be at (0.000, 0.500, 0.250) and W at (0.000, 0.000, 0.500).


9.
DFT (PBE) results for a relaxed ScBe2W crystal.

Its calculated formation energy is 0.19 eV per atom. For the density of states at the Fermi level, the calculation gives 0.985 states/eV per atom. Its total DFT energy (no corrections) is -104.0 eV/cell.

The space group is Fm-3m (No. 225) and the conventional cell measures 5.991, 5.991 and 5.991 Å, with angles of 90.00, 90.00 and 90.00 degrees. Symmetry generates all atoms from Sc at (0.000, 0.000, 0.000), Be at (0.250, 0.250, 0.250) and W at (0.000, 0.000, 0.500).


10.
DFT (PBE) results for a relaxed ScBeW2 crystal.

Its calculated formation energy is 0.44 eV per atom. For the density of states at the Fermi level, the calculation gives 0.769 states/eV per atom. Its total DFT energy (no corrections) is -68.4 eV/cell.

The space group is Cmmm (No. 65) and the conventional cell measures 5.391, 8.754 and 2.709 Å, with angles of 90.00, 90.00 and 90.00 degrees. Symmetry generates all atoms from Sc at (0.000, 0.000, 0.000), Be at (0.000, 0.500, 0.000) and W at (0.250, 0.250, 0.500).


11.
DFT (PBE) results for a relaxed ScBe2W crystal.

Its calculated formation energy is 0.79 eV per atom. For the density of states at the Fermi level, the calculation gives 0.975 states/eV per atom. Its total DFT energy (no corrections) is -94.3 eV/cell.

The space group is I-42d (No. 122) and the conventional cell measures 3.987, 3.987 and 16.594 Å, with angles of 90.00, 90.00 and 90.00 degrees. Symmetry generates all atoms from Sc at (0.000, 0.000, 0.000), Be at (0.102, 0.250, 0.625) and W at (0.000, 0.000, 0.500).


12.
DFT (PBE) results for a relaxed ScBe2W crystal.

Its calculated formation energy is 0.04 eV per atom. For the density of states at the Fermi level, the calculation gives 0.466 states/eV per atom. Its total DFT energy (no corrections) is -26.6 eV/cell.

The space group is P4/mmm (No. 123) and the conventional cell measures 3.145, 3.145 and 5.558 Å, with angles of 90.00, 90.00 and 90.00 degrees. Symmetry generates all atoms from Sc at (0.000, 0.000, 0.000), Be at (0.500, 0.500, 0.305) and W at (0.000, 0.000, 0.500).


13.
DFT (PBE) results for a relaxed ScBeW2 crystal.

Its calculated formation energy is 0.23 eV per atom. For the density of states at the Fermi level, the calculation gives 0.613 states/eV per atom. Its total DFT energy (no corrections) is -35.0 eV/cell.

The space group is Pmmm (No. 47) and the conventional cell measures 3.329, 4.241 and 4.455 Å, with angles of 90.00, 90.00 and 90.00 degrees. Symmetry generates all atoms from Sc at (0.000, 0.000, 0.000), Be at (0.500, 0.500, 0.000), W at (0.000, 0.500, 0.500) and W at (0.500, 0.000, 0.500).


14.
DFT (PBE) results for a relaxed ScBeW3 crystal.

Its calculated formation energy is 0.73 eV per atom. For the density of states at the Fermi level, the calculation gives 1.252 states/eV per atom. Its total DFT energy (no corrections) is -45.3 eV/cell.

The space group is Pm-3m (No. 221) and the conventional cell measures 4.343, 4.343 and 4.343 Å, with angles of 90.00, 90.00 and 90.00 degrees. Symmetry generates all atoms from Sc at (0.000, 0.000, 0.000), Be at (0.500, 0.500, 0.500) and W at (0.000, 0.500, 0.500).